Below is KTlZn2 at its PBEsol-relaxed geometry, with properties calculated at the meta-GGA SCAN level.

a b c (Å): 3.567 4.075 7.212
angles (deg): 90.00 90.00 90.00
Fractional positions:
K 0.500 0.500 0.000
Tl 0.500 0.500 0.500
Zn 0.000 0.000 0.686
Zn 0.000 0.000 0.314

Excess energy over the best structure of this formula in the dataset ... 13.8 kJ/mol of atoms
Calculated density ... 5.9 g cm⁻³
V ... 26.2 A^3/atom
ΔE_f ... 176 meV per atom
Density of states at the Fermi level ... 1.83 states/eV/cell